Computed, not measured: crystalline PrSm2Ir2 at its relaxed geometry at the PBE-GGA level of DFT.

Geometry as POSCAR:
```
PrSm2Ir2
1.0
5.702 0.000 0.000
0.000 4.475 0.000
-1.511 0.000 10.599
Pr Sm Ir
2 4 4
direct
0.053 0.250 0.288
0.947 0.750 0.712
0.269 0.750 0.032
0.384 0.250 0.613
0.616 0.750 0.387
0.731 0.250 0.968
0.157 0.750 0.468
0.198 0.250 0.864
0.802 0.750 0.136
0.843 0.250 0.532
```

Volume (Å³/cell): 270.43
N(E_F) (states/eV/cell): 5.5
ΔH_f (0 K) (meV/atom): -618.3
Calculated total energy (eV/f.u.): -35.03

---

Computed, not measured: crystalline Na4TbTm3S8 at its relaxed geometry at the PBE-GGA level of DFT.

Geometry as POSCAR:
```
Na4TbTm3S8
1.0
3.949 2.280 6.680
-3.949 2.280 6.680
0.000 -4.560 6.680
Na Tb Tm S
4 1 3 8
direct
0.000 0.000 0.000
0.000 0.500 0.500
0.500 0.000 0.500
0.500 0.500 0.000
0.500 0.500 0.500
0.000 0.000 0.500
0.000 0.500 0.000
0.500 0.000 0.000
0.238 0.744 0.744
0.241 0.241 0.241
0.256 0.256 0.762
0.256 0.762 0.256
0.744 0.238 0.744
0.744 0.744 0.238
0.759 0.759 0.759
0.762 0.256 0.256
```

Energy relative to the elements, uncorrected (eV per atom): -1.85
Volume (Å³/cell): 360.87
N(E_F) (states/eV/cell): 0.0
Calculated total energy (eV/f.u.): -85.98

---

Computed, not measured: crystalline HgGe2AuSe6 at its relaxed geometry at the PBE-GGA level of DFT.

Geometry as POSCAR:
```
HgGe2AuSe6
1.0
7.333 -7.492 0.000
7.333 7.492 0.000
-2.942 0.000 6.000
Hg Ge Au Se
2 4 2 12
direct
0.013 0.987 0.750
0.987 0.013 0.250
0.207 0.346 0.767
0.346 0.207 0.267
0.654 0.793 0.733
0.793 0.654 0.233
0.304 0.696 0.250
0.696 0.304 0.750
0.010 0.789 0.384
0.127 0.554 0.925
0.211 0.990 0.116
0.276 0.403 0.487
0.403 0.276 0.987
0.446 0.873 0.575
0.554 0.127 0.425
0.597 0.724 0.013
0.724 0.597 0.513
0.789 0.010 0.884
0.873 0.446 0.075
0.990 0.211 0.616
```

Energy relative to the elements, uncorrected (eV per atom): -0.12
Volume (Å³/cell): 659.35
N(E_F) (states/eV/cell): 5.6
Calculated total energy (eV/f.u.): -34.89